Record 1
MnTcAs2 | PBE | optimized geometry

Output
* ΔE_f: 0.300 eV per atom
* SG: I-42d (122)
* polymorph energy (0 for the lowest one): 0.407 eV/atom

Structure (POSCAR):
```
MnTcAs2
1.0
-2.6551 2.6551 6.1153
2.6551 -2.6551 6.1153
2.6551 2.6551 -6.1153
Mn Tc As
2 2 4
Cartesian
0.0000 0.0000 0.0000
0.0000 2.6551 3.0577
2.6551 0.0000 3.0577
0.0000 0.0000 6.1153
1.3276 -1.2800 4.5865
1.3751 1.3276 1.5288
1.3276 3.9351 -1.5288
1.2800 1.3276 7.6441
```


Record 2
CaGaCuPt3 | PBE | optimized geometry

Output
* ΔE_f: -0.466 eV per atom
* SG: Cmcm (63)

Structure (POSCAR):
```
CaGaCuPt3
1.0
3.3290 -5.9027 0.0000
3.3290 5.9027 0.0000
0.0000 0.0000 5.6660
Ca Ga Cu Pt
2 2 2 6
Cartesian
3.3290 3.4959 4.2495
3.3290 -3.4959 1.4165
3.3290 4.2629 1.4165
3.3290 -4.2629 4.2495
3.3290 0.7574 4.2495
3.3290 -0.7574 1.4165
1.3837 0.0000 0.0000
1.3837 0.0000 2.8330
3.3290 1.8432 1.4165
3.3290 -1.8432 4.2495
5.2743 0.0000 0.0000
5.2743 0.0000 2.8330
```


Record 3
Pu2HCl | PBE | optimized geometry

Output
* SG: R-3m (166)
* polymorph energy (0 for the lowest one): 0.000 eV/atom

Structure (POSCAR):
```
Pu2HCl
1.0
1.7588 1.0155 7.2980
-1.7588 1.0155 7.2980
0.0000 -2.0309 7.2980
Pu H Cl
2 1 1
Cartesian
0.0000 0.0000 5.0604
0.0000 0.0000 16.8337
0.0000 0.0000 10.9470
0.0000 0.0000 0.0000
```


Record 4
BaMg2Cl | PBE | optimized geometry

Output
* SG: Cm (8)
* polymorph energy (0 for the lowest one): 0.071 eV/atom
* formation energy without anion corrections: -2.39 eV/f.u.

Structure (POSCAR):
```
BaMg2Cl
1.0
5.3983 -2.0318 0.0000
5.3983 2.0318 0.0000
-2.5101 0.0000 6.3083
Ba Mg Cl
1 2 1
Cartesian
0.0000 0.0000 0.0000
0.7998 0.0000 3.5796
3.8191 0.0000 3.0638
5.2290 0.0000 6.0709
```


Record 5
TaOsPd | PBE | optimized geometry

Output
* ΔE_f: 0.040 eV per atom
* SG: P3m1 (156)

Structure (POSCAR):
```
TaOsPd
1.0
4.5280 0.0000 0.0000
-2.2640 3.9213 0.0000
0.0000 0.0000 2.6954
Ta Os Pd
1 1 1
Cartesian
0.0000 0.0000 0.0000
2.2640 1.3071 1.2980
0.0000 2.6142 1.3398
```


Record 6
LiSc | PBE | optimized geometry

Output
* ΔE_f: 0.392 eV per atom
* SG: Fddd (70)
* polymorph energy (0 for the lowest one): 0.301 eV/atom

Structure (POSCAR):
```
LiSc
1.0
0.0000 5.1167 5.5584
3.0032 0.0000 5.5584
3.0032 5.1167 0.0000
Li Sc
4 4
Cartesian
3.9784 3.8375 4.1688
5.4800 6.3959 6.9480
0.5263 3.8375 4.1688
2.0279 6.3959 6.9480
2.2524 1.5107 4.1688
3.7539 4.0690 6.9480
2.2524 6.1644 4.1688
3.7539 8.7227 6.9480
```


Record 7
As4WCl | PBE | optimized geometry

Output
* SG: F-43m (216)
* formation energy without anion corrections: 5.57 eV/f.u.

Structure (POSCAR):
```
As4WCl
1.0
0.0000 3.8938 3.8938
3.8938 0.0000 3.8938
3.8938 3.8938 0.0000
As W Cl
4 1 1
Cartesian
0.9752 0.9752 0.9752
2.9186 2.9186 0.9752
2.9186 0.9752 2.9186
0.9752 2.9186 2.9186
3.8938 3.8938 3.8938
5.8407 5.8407 5.8407
```


Record 8
SrSm2Cd3 | PBE | optimized geometry

Output
* ΔE_f: -0.322 eV per atom
* SG: P4/mmm (123)

Structure (POSCAR):
```
SrSm2Cd3
1.0
3.8656 0.0000 0.0000
0.0000 3.8656 0.0000
0.0000 0.0000 11.8247
Sr Sm Cd
1 2 3
Cartesian
0.0000 0.0000 0.0000
0.0000 0.0000 4.0419
0.0000 0.0000 7.7829
1.9328 1.9328 2.2189
1.9328 1.9328 5.9124
1.9328 1.9328 9.6058
```


Record 9
Zn2Ag2Cl7 | PBE | optimized geometry

Output
* SG: C2/m (12)
* polymorph energy (0 for the lowest one): 0.000 eV/atom
* formation energy without anion corrections: -8.16 eV/f.u.

Structure (POSCAR):
```
Zn2Ag2Cl7
1.0
4.8091 -5.3905 0.0000
4.8091 5.3905 0.0000
-2.5324 0.0000 6.0888
Zn Ag Cl
2 2 7
Cartesian
0.9363 0.0000 2.4258
6.1495 0.0000 3.6630
4.8091 2.0500 0.0000
4.8091 -2.0500 0.0000
-1.2662 0.0000 3.0444
1.5662 1.8688 1.3145
1.5662 -1.8688 1.3145
2.0608 0.0000 4.4771
5.0249 0.0000 1.6117
5.5196 1.8688 4.7743
5.5196 -1.8688 4.7743
```


Record 10
LiHg2Au2 | PBE | optimized geometry

Output
* ΔE_f: -0.135 eV per atom
* SG: P4/mbm (127)
* polymorph energy (0 for the lowest one): 0.000 eV/atom

Structure (POSCAR):
```
LiHg2Au2
1.0
7.1911 0.0000 0.0000
0.0000 7.1911 0.0000
0.0000 0.0000 4.0078
Li Hg Au
2 4 4
Cartesian
0.0000 0.0000 0.0000
3.5955 3.5955 0.0000
1.2038 2.3918 2.0039
2.3918 5.9873 2.0039
4.7993 1.2038 2.0039
5.9873 4.7993 2.0039
1.0015 4.5971 0.0000
2.5940 1.0015 0.0000
4.5971 6.1895 0.0000
6.1895 2.5940 0.0000
```


Record 11
NaLaTeOs2 | PBE | optimized geometry

Output
* SG: P4/mmm (123)
* formation energy without anion corrections: 7.84 eV/f.u.

Structure (POSCAR):
```
NaLaTeOs2
1.0
4.8156 0.0000 0.0000
0.0000 4.8156 0.0000
0.0000 0.0000 5.0656
Na La Te Os
1 1 1 2
Cartesian
0.0000 0.0000 0.0000
2.4078 2.4078 2.5328
0.0000 0.0000 2.5328
0.0000 2.4078 0.0000
2.4078 0.0000 0.0000
```


Record 12
HfMnZnAu | PBE | optimized geometry

Output
* ΔE_f: -0.149 eV per atom
* SG: F-43m (216)

Structure (POSCAR):
```
HfMnZnAu
1.0
0.0000 3.2561 3.2561
3.2561 0.0000 3.2561
3.2561 3.2561 0.0000
Hf Mn Zn Au
1 1 1 1
Cartesian
0.0000 0.0000 0.0000
3.2561 3.2561 3.2561
4.8842 4.8842 4.8842
1.6281 1.6281 1.6281
```